[1]
## LiTbPt2 (PBE-GGA)

Data for a relaxed LiTbPt2 crystal.

Computed properties:
- SG: P4/mmm (123)
- Energy of formation from the pure elements: -933 meV per atom
- Magnetic moment: 0.0 μB per formula unit

Lattice parameters (Å, degrees): 3.9218 4.2372 4.2372 90.00 90.00 90.00
Closest atoms and distances in Å follow each position.
Atoms (fractional coordinates):
Tb1 0.5000 0.5000 0.5000  8 Pt 2.89, 4 Li 3.00
Pt1 0.0000 0.0000 0.5000  4 Tb 2.89, 4 Li 2.89, 4 Pt 3.00
Pt2 0.0000 0.5000 0.0000  4 Tb 2.89, 4 Li 2.89, 4 Pt 3.00
Li1 0.5000 0.0000 0.0000  8 Pt 2.89, 4 Tb 3.00

[2]
## PmSm4Sn4 (PBE-GGA)

Data for a relaxed PmSm4Sn4 crystal.

Computed properties:
- SG: P4_2/n (86)
- Energy of formation from the pure elements: -457 meV per atom
- Magnetic moment: 0.0 μB per formula unit

Lattice parameters (Å, degrees): 6.2975 9.8752 9.8752 90.00 90.00 90.00
Closest atoms and distances in Å follow each position.
Atoms (fractional coordinates):
Pm1 0.0000 0.0000 0.0000  4 Sn 3.09
Pm2 0.5000 0.5000 0.5000  4 Sn 3.09
Sm1 0.3839 0.3289 0.9059  5 Sn 3.16-3.28
Sm2 0.8839 0.5941 0.8289  5 Sn 3.16-3.28
Sm3 0.3839 0.6711 0.0941  5 Sn 3.16-3.28
Sm4 0.1161 0.1711 0.5941  5 Sn 3.16-3.28
Sm5 0.6161 0.9059 0.6711  5 Sn 3.16-3.28
Sm6 0.1161 0.8289 0.4059  5 Sn 3.16-3.28
Sm7 0.8839 0.4059 0.1711  5 Sn 3.16-3.28
Sm8 0.6161 0.0941 0.3289  5 Sn 3.16-3.28
Sn1 0.6136 0.7771 0.3730  1 Sn 3.02, 1 Pm 3.09, 5 Sm 3.16-3.28
Sn2 0.6136 0.2229 0.6270  1 Sn 3.02, 1 Pm 3.09, 5 Sm 3.16-3.28
Sn3 0.1136 0.8730 0.7229  1 Sn 3.02, 1 Pm 3.09, 5 Sm 3.16-3.28
Sn4 0.8864 0.2771 0.8730  1 Sn 3.02, 1 Pm 3.09, 5 Sm 3.16-3.28
Sn5 0.8864 0.7229 0.1270  1 Sn 3.02, 1 Pm 3.09, 5 Sm 3.16-3.28
Sn6 0.3864 0.3730 0.2229  1 Sn 3.02, 1 Pm 3.09, 5 Sm 3.16-3.28
Sn7 0.3864 0.6270 0.7771  1 Sn 3.02, 1 Pm 3.09, 5 Sm 3.16-3.28
Sn8 0.1136 0.1270 0.2771  1 Sn 3.02, 1 Pm 3.09, 5 Sm 3.16-3.28

Number 1: electronic total energy -5.589 eV/atom. Number 2: electronic total energy -4.861 eV/atom.